1.
This record from Alexandria via LeMat-Bulk describes a relaxed structure of Tl2InPb2. The functional is GGA-PBE.

Its magnetization is 0.00 Bohr magnetons per cell. The energy relative to the lowest polymorph listed for this composition comes out at 0.1342 eV/atom. The raw total energy comes out at -14.14 eV per formula unit. The value obtained for the formation energy is 0.75 eV/f.u. As for the volume: 328 Å³ per cell.

Unit cell a=4.469 b=4.469 c=16.440 alpha=90.00 beta=90.00 gamma=90.00
Space group I4/mmm (No. 139)
Asymmetric unit:
Tl  0.000  0.500  0.250 x4
In  0.000  0.000  0.000 x2
Pb  0.000  0.000  0.404 x4

***

2.
This record from Alexandria via LeMat-Bulk describes a relaxed structure of Tl2InPb2. The functional is GGA-PBE.

Its magnetization is 0.00 Bohr magnetons per cell. The energy relative to the lowest polymorph listed for this composition comes out at 0.0000 eV/atom. The raw total energy comes out at -14.81 eV per formula unit. The value obtained for the formation energy is 0.08 eV/f.u. As for the volume: 305 Å³ per cell.

Unit cell a=10.414 b=5.075 c=7.526 alpha=90.00 beta=130.04 gamma=90.00
Space group C2/m (No. 12)
Asymmetric unit:
Tl  0.200  0.000  0.096 x4
In  0.000  0.000  0.500 x2
Pb  0.107  0.500  0.306 x4

***

- Look up the raw total energy of the first one.
  -14.14 eV per formula unit

***

- raw total energy of number 1 (Tl2InPb2)?
  -14.14 eV per formula unit